(1)
Tb2ZnFe2Ni5 | PBE-GGA | relaxed

```
20
Lattice="-1.486 1.849 2.907 -0.293 -7.554 4.654 8.147 1.616 3.136" Properties=species:S:1:pos:R:3 pbc="T T T"
Ni 4.892 -2.163 6.296
Ni 1.476 -1.927 4.401
Ni 6.676 -3.512 8.066
Ni 0.708 -5.827 6.488
Ni 3.743 -0.346 4.554
Ni -0.308 -0.577 2.631
Ni 5.660 1.737 4.209
Ni -0.889 -2.853 3.781
Ni 3.330 1.732 3.022
Ni 2.625 -3.743 6.143
Tb 6.557 -1.070 4.032
Tb 2.523 -0.877 1.847
Tb 1.297 -4.868 3.758
Tb 5.331 -5.062 5.943
Fe 7.048 -3.196 5.634
Fe 4.960 0.138 2.447
Fe 0.806 -2.742 2.156
Fe 2.894 -6.076 5.343
Zn 3.927 -2.969 3.895
Zn 0.000 0.000 0.000
```

Values from the calculation:
**Symmetry**: P4/mbm, No. 127

---

(2)
FeTcNi3 | PBE-GGA | relaxed

```
5
Lattice="4.134 0.000 0.000 0.000 4.134 0.000 0.000 0.000 4.134" Properties=species:S:1:pos:R:3 pbc="T T T"
Ni 0.000 2.067 0.000
Ni 2.067 0.000 0.000
Ni 0.000 0.000 2.067
Tc 2.067 2.067 2.067
Fe 0.000 0.000 0.000
```

Values from the calculation:
**Distance to the lowest polymorph of the same formula**: 1.309 eV/atom
**Symmetry**: Pm-3m, No. 221

---

(3)
Fe3TcNi | PBE-GGA | relaxed

```
5
Lattice="4.256 0.000 0.000 0.000 4.256 0.000 0.000 0.000 4.256" Properties=species:S:1:pos:R:3 pbc="T T T"
Fe 0.000 2.128 0.000
Fe 0.000 0.000 2.128
Fe 2.128 0.000 0.000
Tc 2.128 2.128 2.128
Ni 0.000 0.000 0.000
```

Values from the calculation:
**Distance to the lowest polymorph of the same formula**: 0.000 eV/atom
**Symmetry**: Pm-3m, No. 221

---

(4)
FeTcNi6 | PBE-GGA | relaxed

```
32
Lattice="6.212 -0.002 0.000 -2.068 5.858 0.000 0.000 0.000 10.145" Properties=species:S:1:pos:R:3 pbc="T T T"
Ni 2.072 2.928 2.536
Ni 2.080 0.751 3.823
Ni 0.000 0.000 7.609
Ni 2.086 0.744 8.861
Ni 0.007 2.214 6.357
Ni 0.007 4.390 10.123
Ni 2.058 5.113 8.861
Ni 2.072 2.928 7.609
Ni 4.127 3.645 1.250
Ni 4.137 1.467 5.095
Ni 0.007 2.214 8.861
Ni 0.016 2.211 3.823
Ni 4.137 3.642 6.357
Ni 2.058 5.113 6.357
Ni 2.064 5.105 1.250
Ni 4.137 1.467 10.123
Ni 0.007 4.390 5.095
Ni 4.137 3.642 8.861
Ni 2.064 5.105 3.823
Ni 0.000 0.000 2.536
Ni 0.016 2.211 1.250
Ni 2.086 0.744 6.357
Ni 2.080 0.751 1.250
Ni 4.127 3.645 3.823
Tc -0.013 4.404 2.536
Tc 0.000 0.000 5.092
Tc 0.000 0.000 10.126
Tc 4.157 1.453 2.536
Fe 2.072 2.928 10.115
Fe 2.072 2.928 5.103
Fe 4.157 1.453 7.609
Fe -0.013 4.403 7.609
```

Values from the calculation:
**Distance to the lowest polymorph of the same formula**: 0.000 eV/atom
**Symmetry**: Cmmm, No. 65

---

(5)
FeTcNi6 | PBE-GGA | relaxed

```
8
Lattice="3.566 0.000 0.000 0.000 5.085 -0.032 0.000 0.033 5.085" Properties=species:S:1:pos:R:3 pbc="T T T"
Tc 1.783 2.559 2.527
Ni 0.000 3.833 1.236
Ni 0.000 1.269 1.253
Ni 0.000 3.849 3.800
Ni 1.783 0.016 2.543
Ni 1.783 2.543 -0.016
Ni 0.000 1.285 3.817
Fe 1.783 0.000 0.000
```

Values from the calculation:
**Distance to the lowest polymorph of the same formula**: 0.007 eV/atom
**Symmetry**: P4/mmm, No. 123

---

(6)
Fe3TcNi | PBE-GGA | relaxed

```
5
Lattice="4.386 0.000 0.000 0.000 4.386 0.000 0.000 0.000 4.386" Properties=species:S:1:pos:R:3 pbc="T T T"
Fe 0.000 0.000 2.193
Fe 2.193 0.000 0.000
Fe 0.000 2.193 0.000
Ni 2.193 2.193 2.193
Tc 0.000 0.000 0.000
```

Values from the calculation:
**Distance to the lowest polymorph of the same formula**: 0.410 eV/atom
**Symmetry**: Pm-3m, No. 221

---

Q: Which magnetic moment values were calculated for the entries above? A: 0.58 0.00 2.23 0.90 0.85 1.13, in μB/atom.
Q: Which ΔE_f values were calculated for the entries above? A: -1.254 7.084 6.055 0.178 0.237 8.105, in eV per formula unit.